(1)
VASP calculation (PBE) on a relaxed Ac4Bi12Pb crystal.

Properties
M_tot (μB per formula unit): 0.0
DOS(E_F) (states/eV/cell): 10.13
Uncorrected energy (eV/atom): -4.31
Crystal system: cubic

Cell lengths 9.1215, 9.1215, 9.1215 Å; angles 109.47, 109.47, 109.47 degrees
Fractional positions:
1 Ac 0.0000 0.0000 0.5000
2 Ac 0.0000 0.5000 0.0000
3 Ac 0.5000 0.0000 0.0000
4 Ac 0.5000 0.5000 0.5000
5 Bi 0.0000 0.2944 0.2944
6 Bi 0.0000 0.7056 0.7056
7 Bi 0.2500 0.5000 0.7500
8 Bi 0.2500 0.7500 0.5000
9 Bi 0.2944 0.0000 0.2944
10 Bi 0.2944 0.2944 0.0000
11 Bi 0.5000 0.2500 0.7500
12 Bi 0.5000 0.7500 0.2500
13 Bi 0.7056 0.0000 0.7056
14 Bi 0.7056 0.7056 0.0000
15 Bi 0.7500 0.2500 0.5000
16 Bi 0.7500 0.5000 0.2500
17 Pb 0.0000 0.0000 0.0000

***

(2)
VASP calculation (PBE) on a relaxed Ac2Bi5Pb crystal.

Properties
M_tot (μB per formula unit): 0.0
DOS(E_F) (states/eV/cell): 3.22
Uncorrected energy (eV/atom): -4.44
Crystal system: orthorhombic

Cell lengths 7.1520, 7.1520, 5.2337 Å; angles 90.00, 90.00, 94.40 degrees
Fractional positions:
1 Ac 0.2411 0.7589 0.0000
2 Ac 0.7589 0.2411 0.0000
3 Bi 0.0000 0.0000 0.5000
4 Bi 0.0000 0.5000 0.5000
5 Bi 0.2574 0.2574 0.0000
6 Bi 0.5000 0.0000 0.5000
7 Bi 0.7426 0.7426 0.0000
8 Pb 0.5000 0.5000 0.5000

***

(3)
VASP calculation (PBE) on a relaxed AcBi2Pb crystal.

Properties
M_tot (μB per formula unit): 0.0
DOS(E_F) (states/eV/cell): 3.17
Polymorph energy (0 for the lowest one) (meV per atom): 87
Crystal system: tetragonal

Cell lengths 4.4436, 4.4436, 6.9498 Å; angles 90.00, 90.00, 90.00 degrees
Fractional positions:
1 Ac 0.0000 0.0000 0.0000
2 Bi 0.5000 0.5000 0.2528
3 Bi 0.5000 0.5000 0.7472
4 Pb 0.0000 0.0000 0.5000

***

(4)
VASP calculation (PBE) on a relaxed Ac3Bi2Pd9Pb crystal.

Properties
M_tot (μB per formula unit): 0.0
DOS(E_F) (states/eV/cell): 7.90
Uncorrected energy (eV/atom): -5.10
Crystal system: trigonal

Cell lengths 7.0139, 7.0139, 9.6781 Å; angles 90.00, 90.00, 120.00 degrees
Fractional positions:
1 Ac 0.0000 0.0000 0.0000
2 Ac 0.3333 0.6667 0.7491
3 Ac 0.6667 0.3333 0.2509
4 Bi 0.3333 0.6667 0.1924
5 Bi 0.6667 0.3333 0.8076
6 Pd 0.0000 0.5000 0.0000
7 Pd 0.1302 0.2605 0.2717
8 Pd 0.1302 0.8698 0.2717
9 Pd 0.2605 0.1302 0.7283
10 Pd 0.5000 0.0000 0.0000
11 Pd 0.5000 0.5000 0.0000
12 Pd 0.7395 0.8698 0.2717
13 Pd 0.8698 0.1302 0.7283
14 Pd 0.8698 0.7395 0.7283
15 Pb 0.0000 0.0000 0.5000